Crystalline Ta2VMoO at its relaxed geometry. Source: Alexandria via LeMat-Bulk, functional PBE+U.

Values from the calculation:
Calculated total energy (eV per atom): -8.641

a b c (Å): 4.4528 4.4528 3.7149
angles (deg): 90.00 90.00 90.00
Space group P4/mmm (No. 123)
Asymmetric unit:
Ta 0.0000 0.5000 0.0000 x2
V 0.0000 0.0000 0.5000 x1
Mo 0.5000 0.5000 0.5000 x1
O 0.0000 0.0000 0.0000 x1